[1]
{
  "formula": "RbTbTlTe3",
  "functional": "GGA-PBE",
  "state": "relaxed",
  "dft_energy_ev_per_atom": -3.7680,
  "volume_a3_per_cell": 462,
  "rho_g_cm3": 5.980,
  "cell": [[2.3043, -8.2400, 0.0000], [2.3043, 8.2400, 0.0000], [0.0000, 0.0000, 12.1615]],
  "species": ["Rb", "Rb", "Tb", "Tb", "Tl", "Tl", "Te", "Te", "Te", "Te", "Te", "Te"],
  "fractional_positions": [[0.2486, 0.7514, 0.7500], [0.7514, 0.2486, 0.2500], [0.0000, 0.0000, 0.0000], [0.0000, 0.0000, 0.5000], [0.4472, 0.5528, 0.2500], [0.5528, 0.4472, 0.7500], [0.0657, 0.9343, 0.2500], [0.3712, 0.6288, 0.0237], [0.3712, 0.6288, 0.4763], [0.6288, 0.3712, 0.5237], [0.6288, 0.3712, 0.9763], [0.9343, 0.0657, 0.7500]]
}


[2]
{
  "formula": "Ta10W3",
  "functional": "GGA-PBE",
  "state": "relaxed",
  "delta_e_f_ev_per_atom": 0.128,
  "volume_a3_per_cell": 238,
  "rho_g_cm3": 16.453,
  "cell": [[2.6954, 1.5562, 9.4677], [-2.6954, 1.5562, 9.4677], [0.0000, -3.1124, 9.4677]],
  "species": ["Ta", "Ta", "Ta", "Ta", "Ta", "Ta", "Ta", "Ta", "Ta", "Ta", "W", "W", "W"],
  "fractional_positions": [[0.0873, 0.5907, 0.5907], [0.1482, 0.1482, 0.1482], [0.3324, 0.3324, 0.3324], [0.4093, 0.4093, 0.9127], [0.4093, 0.9127, 0.4093], [0.5907, 0.0873, 0.5907], [0.5907, 0.5907, 0.0873], [0.6676, 0.6676, 0.6676], [0.8518, 0.8518, 0.8518], [0.9127, 0.4093, 0.4093], [0.0447, 0.0447, 0.0447], [0.5000, 0.5000, 0.5000], [0.9553, 0.9553, 0.9553]]
}


[3]
{
  "formula": "ZnFeAgOs",
  "functional": "GGA-PBE",
  "state": "relaxed",
  "delta_e_f_ev_per_atom": 0.526,
  "volume_a3_per_cell": 58,
  "rho_g_cm3": 11.939,
  "cell": [[0.0000, 3.0780, 3.0780], [3.0780, 0.0000, 3.0780], [3.0780, 3.0780, 0.0000]],
  "species": ["Zn", "Fe", "Ag", "Os"],
  "fractional_positions": [[0.0000, 0.0000, 0.0000], [0.2500, 0.2500, 0.2500], [0.7500, 0.7500, 0.7500], [0.5000, 0.5000, 0.5000]]
}


[4]
{
  "formula": "LiZrTeAuS2",
  "functional": "GGA-PBE",
  "state": "relaxed",
  "dft_energy_ev_per_atom": -5.0712,
  "volume_a3_per_cell": 262,
  "rho_g_cm3": 6.169,
  "cell": [[1.8640, -6.6699, 0.0000], [1.8640, 6.6699, 0.0000], [0.0000, 0.0000, 10.5416]],
  "species": ["Li", "Li", "Zr", "Zr", "Te", "Te", "Au", "Au", "S", "S", "S", "S"],
  "fractional_positions": [[0.1954, 0.8046, 0.7500], [0.8046, 0.1954, 0.2500], [0.0000, 0.0000, 0.0000], [0.0000, 0.0000, 0.5000], [0.1230, 0.8770, 0.2500], [0.8770, 0.1230, 0.7500], [0.4658, 0.5342, 0.2500], [0.5342, 0.4658, 0.7500], [0.3698, 0.6302, 0.0539], [0.3698, 0.6302, 0.4461], [0.6302, 0.3698, 0.5539], [0.6302, 0.3698, 0.9461]]
}


[5]
{
  "formula": "PrCoSi",
  "functional": "GGA-PBE",
  "state": "relaxed",
  "dft_energy_ev_per_atom": -6.4378,
  "volume_a3_per_cell": 115,
  "rho_g_cm3": 6.555,
  "cell": [[4.0318, 0.0000, 0.0000], [0.0000, 4.0318, 0.0000], [0.0000, 0.0000, 7.1037]],
  "species": ["Pr", "Pr", "Co", "Co", "Si", "Si"],
  "fractional_positions": [[0.2500, 0.2500, 0.1839], [0.7500, 0.7500, 0.8161], [0.2500, 0.7500, 0.5000], [0.7500, 0.2500, 0.5000], [0.2500, 0.2500, 0.6662], [0.7500, 0.7500, 0.3338]]
}


[6]
{
  "formula": "PmAgB",
  "functional": "GGA-PBE",
  "state": "relaxed",
  "dft_energy_ev_per_atom": -4.5504,
  "volume_a3_per_cell": 59,
  "rho_g_cm3": 7.435,
  "cell": [[0.0000, 3.0880, 3.0880], [3.0880, 0.0000, 3.0880], [3.0880, 3.0880, 0.0000]],
  "species": ["Pm", "Ag", "B"],
  "fractional_positions": [[0.0000, 0.0000, 0.0000], [0.5000, 0.5000, 0.5000], [0.7500, 0.7500, 0.7500]]
}